Record 1
A plane-wave DFT calculation with PBE was carried out for a relaxed structure of LaPrNi4Ge2.

a b c (Å): 4.132 4.132 9.811
angles (deg): 90.00 90.00 120.00
Atoms (fractional coordinates):
La 0.000 0.000 0.000
Pr 0.333 0.667 0.500
Ni 0.000 0.000 0.297
Ni 0.000 0.000 0.703
Ni 0.333 0.667 0.203
Ni 0.333 0.667 0.797
Ge 0.667 0.333 0.251
Ge 0.667 0.333 0.749

For the total energy, the calculation gives -5.71 eV/atom. The total magnetic moment comes out at 0.010 Bohr magnetons per cell.



Record 2
A plane-wave DFT calculation with PBE was carried out for a relaxed structure of LaSm2Si2Ni4Ge2.

a b c (Å): 12.112 12.112 12.112
angles (deg): 160.58 160.19 27.88
Atoms (fractional coordinates):
La 0.000 0.000 0.000
Sm 0.348 0.848 0.500
Sm 0.652 0.152 0.500
Si 0.201 0.701 0.500
Si 0.799 0.299 0.500
Ni 0.103 0.603 0.500
Ni 0.249 0.249 0.000
Ni 0.751 0.751 0.000
Ni 0.897 0.397 0.500
Ge 0.445 0.445 0.000
Ge 0.555 0.555 0.000

For the total energy, the calculation gives -5.94 eV/atom. The total magnetic moment comes out at 0.003 Bohr magnetons per cell.



Record 3
A plane-wave DFT calculation with PBE was carried out for a relaxed structure of La2SmNi4Ge4.

a b c (Å): 12.441 12.441 12.441
angles (deg): 160.89 160.62 27.35
Atoms (fractional coordinates):
La 0.150 0.150 0.000
La 0.850 0.850 0.000
Sm 0.500 0.000 0.500
Ni 0.251 0.751 0.500
Ni 0.402 0.402 0.000
Ni 0.598 0.598 0.000
Ni 0.749 0.249 0.500
Ge 0.052 0.552 0.500
Ge 0.301 0.301 0.000
Ge 0.699 0.699 0.000
Ge 0.948 0.448 0.500

For the total energy, the calculation gives -5.75 eV/atom. The total magnetic moment comes out at 0.012 Bohr magnetons per cell.



Record 4
A plane-wave DFT calculation with PBE was carried out for a relaxed structure of LaNi2SnGe.

a b c (Å): 4.322 4.322 10.125
angles (deg): 90.00 90.00 90.00
Atoms (fractional coordinates):
La 0.250 0.250 0.230
La 0.750 0.750 0.770
Ni 0.250 0.250 0.647
Ni 0.250 0.750 0.000
Ni 0.750 0.250 0.000
Ni 0.750 0.750 0.353
Sn 0.250 0.750 0.500
Sn 0.750 0.250 0.500
Ge 0.250 0.250 0.883
Ge 0.750 0.750 0.117

For the total energy, the calculation gives -5.59 eV/atom. The total magnetic moment comes out at 0.001 Bohr magnetons per cell.



Record 5
A plane-wave DFT calculation with PBE was carried out for a relaxed structure of SrLaNi2Ge4.

a b c (Å): 4.236 8.871 8.871
angles (deg): 28.44 90.00 90.00
Atoms (fractional coordinates):
Sr 0.000 0.000 0.000
La 0.500 0.783 0.783
Ni 0.000 0.212 0.212
Ni 0.500 0.576 0.576
Ge 0.000 0.349 0.349
Ge 0.000 0.643 0.643
Ge 0.500 0.144 0.144
Ge 0.500 0.436 0.436

For the total energy, the calculation gives -5.18 eV/atom. The total magnetic moment comes out at 0.001 Bohr magnetons per cell.



Record 6
A plane-wave DFT calculation with PBE was carried out for a relaxed structure of LaNpGe.

a b c (Å): 5.029 5.029 5.029
angles (deg): 60.00 60.00 60.00
Atoms (fractional coordinates):
La 0.000 0.000 0.000
Np 0.500 0.500 0.500
Ge 0.250 0.250 0.250

The value obtained for the relative energy among the computed polymorphs is 0 kJ/mol of formula units. The total magnetic moment comes out at 5.875 Bohr magnetons per cell.



Record 7
A plane-wave DFT calculation with PBE was carried out for a relaxed structure of La3Zn3Ge2SbO14.

a b c (Å): 8.292 8.292 5.242
angles (deg): 90.04 90.04 60.11
Atoms (fractional coordinates):
La 0.000 0.000 0.000
La 0.153 0.423 0.001
La 0.577 0.847 0.999
Zn 0.341 0.659 0.500
Zn 0.579 0.187 0.502
Zn 0.813 0.421 0.498
Ge 0.245 0.088 0.450
Ge 0.912 0.755 0.550
Sb 0.577 0.423 0.000
O 0.049 0.271 0.295
O 0.108 0.742 0.705
O 0.242 0.089 0.785
O 0.258 0.892 0.295
O 0.352 0.503 0.222
O 0.430 0.100 0.300
O 0.433 0.338 0.783
O 0.497 0.648 0.778
O 0.662 0.567 0.217
O 0.723 0.199 0.223
O 0.729 0.951 0.705
O 0.801 0.277 0.777
O 0.900 0.570 0.700
O 0.911 0.758 0.215

For the total energy, the calculation gives -6.63 eV/atom. The total magnetic moment comes out at 0.001 Bohr magnetons per cell.



Record 8
A plane-wave DFT calculation with PBE was carried out for a relaxed structure of LaGe3Os.

a b c (Å): 6.026 6.026 6.026
angles (deg): 136.50 136.50 63.21
Atoms (fractional coordinates):
La 0.000 0.000 0.000
Ge 0.239 0.739 0.500
Ge 0.573 0.573 0.000
Ge 0.739 0.239 0.500
Os 0.341 0.341 0.000

For the total energy, the calculation gives -6.53 eV/atom. The total magnetic moment comes out at 0.006 Bohr magnetons per cell.